Entry 1:
## PaZn2Ni (GGA-PBE)

Data for a relaxed structure of PaZn2Ni.

Computed properties:
The polymorph energy (0 for the lowest one) is 0.526 eV/atom. Its energy of formation is 27 kJ/mol of atoms. The total magnetic moment comes out at 0.0 Bohr magnetons per cell. For the total energy, the calculation gives -4.18 eV per atom. For the density, the calculation gives 9.6 g cm⁻³.

Lattice parameters (Å, degrees): 2.8956 2.8956 10.1071 81.76 81.76 60.00
Atoms (fractional coordinates):
Pa (0.0000, 0.0000, 0.0000)
Zn (0.8956, 0.8956, 0.3132)
Ni (0.5000, 0.5000, 0.5000)
Zn (0.1044, 0.1044, 0.6868)

=====

Entry 2:
## PaZnNi (GGA-PBE)

Data for a relaxed structure of PaZnNi.

Computed properties:
Its energy of formation is -25 kJ/mol of atoms. The total magnetic moment comes out at 0.2 Bohr magnetons per cell. For the total energy, the calculation gives -5.77 eV per atom. For the density, the calculation gives 11.2 g cm⁻³.

Lattice parameters (Å, degrees): 3.1618 4.3871 4.3871 120.00 90.00 90.00
Site moments in Bohr magnetons follow the coordinates.
Atoms (fractional coordinates):
Pa (0.6667, 0.3333, 0.6667)  0.12
Ni (0.1666, 0.0000, 0.0000)  0.01
Zn (0.1667, 0.6667, 0.3333)  0.00

=====

Entry 3:
## PaZn4Ni15 (GGA-PBE)

Data for a relaxed structure of PaZn4Ni15.

Computed properties:
Its energy of formation is -17 kJ/mol of atoms. The total magnetic moment comes out at 3.9 Bohr magnetons per cell. For the total energy, the calculation gives -5.24 eV per atom. For the density, the calculation gives 9.5 g cm⁻³.

Lattice parameters (Å, degrees): 3.6991 3.6991 17.6111 90.00 90.00 90.00
Site moments in Bohr magnetons follow the coordinates.
Atoms (fractional coordinates):
Ni (0.5000, 0.0000, 0.1096)  0.06
Ni (0.5000, 0.0000, 0.8904)  0.06
Ni (0.5000, 0.5000, 0.0000)  0.00
Ni (0.5000, 0.5000, 0.5963)  0.44
Zn (0.0000, 0.0000, 0.7902)  -0.01
Ni (0.5000, 0.5000, 0.2094)  0.32
Ni (0.0000, 0.5000, 0.3064)  0.41
Ni (0.5000, 0.0000, 0.3064)  0.41
Ni (0.5000, 0.0000, 0.6936)  0.41
Ni (0.5000, 0.0000, 0.5000)  0.42
Ni (0.0000, 0.5000, 0.8904)  0.06
Zn (0.0000, 0.0000, 0.5970)  -0.02
Ni (0.5000, 0.5000, 0.4037)  0.44
Ni (0.0000, 0.5000, 0.5000)  0.42
Ni (0.5000, 0.5000, 0.7906)  0.32
Zn (0.0000, 0.0000, 0.4030)  -0.02
Pa (0.0000, 0.0000, 0.0000)  -0.04
Ni (0.0000, 0.5000, 0.6936)  0.41
Zn (0.0000, 0.0000, 0.2098)  -0.01
Ni (0.0000, 0.5000, 0.1096)  0.06

=====

Entry 4:
## PaZn4Ni (GGA-PBE)

Data for a relaxed structure of PaZn4Ni.

Computed properties:
The polymorph energy (0 for the lowest one) is 0.000 eV/atom. Its energy of formation is -17 kJ/mol of atoms. The total magnetic moment comes out at 0.0 Bohr magnetons per cell. For the total energy, the calculation gives -3.57 eV per atom. For the density, the calculation gives 9.2 g cm⁻³.

Lattice parameters (Å, degrees): 4.1357 6.7981 7.0788 90.00 90.00 90.00
Atoms (fractional coordinates):
Zn (0.5000, 0.6966, 0.0562)
Zn (0.0000, 0.0000, 0.5000)
Ni (0.0000, 0.2395, 0.7500)
Zn (0.0000, 0.0000, 0.0000)
Pa (0.0000, 0.6103, 0.7500)
Zn (0.5000, 0.3034, 0.5562)
Pa (0.0000, 0.3897, 0.2500)
Zn (0.5000, 0.9497, 0.7500)
Zn (0.5000, 0.3034, 0.9438)
Zn (0.5000, 0.0503, 0.2500)
Ni (0.0000, 0.7605, 0.2500)
Zn (0.5000, 0.6966, 0.4438)

=====

Entry 5:
## Pa2ZnNi3 (GGA-PBE)

Data for a relaxed structure of Pa2ZnNi3.

Computed properties:
The polymorph energy (0 for the lowest one) is 0.000 eV/atom. Its energy of formation is -36 kJ/mol of atoms. The total magnetic moment comes out at 0.0 Bohr magnetons per cell. For the total energy, the calculation gives -6.64 eV per atom. For the density, the calculation gives 11.5 g cm⁻³.

Lattice parameters (Å, degrees): 3.5556 6.9912 16.3100 90.00 90.00 90.00
Atoms (fractional coordinates):
Zn (0.2500, 0.4859, 0.0594)
Ni (0.2500, 0.0876, 0.1616)
Zn (0.7500, 0.5141, 0.9406)
Ni (0.7500, 0.2948, 0.8161)
Pa (0.2500, 0.5997, 0.7886)
Zn (0.2500, 0.9859, 0.4406)
Zn (0.7500, 0.0141, 0.5594)
Pa (0.7500, 0.8485, 0.0674)
Ni (0.7500, 0.7948, 0.6839)
Pa (0.7500, 0.4003, 0.2114)
Ni (0.7500, 0.7321, 0.4448)
Pa (0.7500, 0.3485, 0.4326)
Ni (0.2500, 0.7052, 0.1839)
Ni (0.2500, 0.7679, 0.9448)
Ni (0.7500, 0.2321, 0.0552)
Pa (0.7500, 0.9003, 0.2886)
Ni (0.2500, 0.5876, 0.3384)
Pa (0.2500, 0.6515, 0.5674)
Pa (0.2500, 0.0997, 0.7114)
Ni (0.2500, 0.2679, 0.5552)
Ni (0.2500, 0.2052, 0.3161)
Pa (0.2500, 0.1515, 0.9326)
Ni (0.7500, 0.4124, 0.6616)
Ni (0.7500, 0.9124, 0.8384)

=====

Entry 6:
## Pa3ZnNi5 (GGA-PBE)

Data for a relaxed structure of Pa3ZnNi5.

Computed properties:
Its energy of formation is -27 kJ/mol of atoms. The total magnetic moment comes out at 0.0 Bohr magnetons per cell. For the total energy, the calculation gives -6.80 eV per atom. For the density, the calculation gives 11.4 g cm⁻³.

Lattice parameters (Å, degrees): 5.3853 8.1055 8.1055 120.00 90.00 90.00
Atoms (fractional coordinates):
Pa (0.7500, 0.6501, 0.6501)
Zn (0.0000, 0.0000, 0.0000)
Pa (0.2500, 0.6501, 0.0000)
Ni (0.2500, 0.0000, 0.3176)
Pa (0.2500, 0.3499, 0.3499)
Zn (0.5000, 0.0000, 0.0000)
Ni (0.2500, 0.3176, 0.0000)
Ni (0.0000, 0.6667, 0.3333)
Pa (0.2500, 0.0000, 0.6501)
Ni (0.5000, 0.3333, 0.6667)
Ni (0.5000, 0.6667, 0.3333)
Pa (0.7500, 0.0000, 0.3499)
Ni (0.0000, 0.3333, 0.6667)
Pa (0.7500, 0.3499, 0.0000)
Ni (0.7500, 0.0000, 0.6824)
Ni (0.7500, 0.3176, 0.3176)
Ni (0.7500, 0.6824, 0.0000)
Ni (0.2500, 0.6824, 0.6824)